Computed, not measured: a geometry-optimized HoVBi2O6 structure at the PBE with a Hubbard U level of DFT. Values from VASP.

Properties
Calculated density = 7.7 Mg/m³
DFT total energy = -6.84 eV/atom
Symmetry = P2_1/c

```
&SYSTEM
  ibrav = 0, nat = 20, ntyp = 4
/
ATOMIC_SPECIES
Bi 208.98 Bi.upf
Ho 164.93 Ho.upf
O 16.00 O.upf
V 50.94 V.upf
ATOMIC_POSITIONS crystal
Bi 0.024 0.071 0.742
Bi 0.524 0.429 0.242
Bi 0.976 0.929 0.258
Bi 0.476 0.571 0.758
Ho 0.000 0.500 0.500
Ho 0.500 0.000 0.000
O 0.353 0.088 0.199
O 0.737 0.785 0.441
O 0.798 0.756 0.091
O 0.147 0.588 0.301
O 0.702 0.256 0.409
O 0.202 0.244 0.909
O 0.647 0.912 0.801
O 0.237 0.715 0.941
O 0.763 0.285 0.059
O 0.853 0.412 0.699
O 0.263 0.215 0.559
O 0.298 0.744 0.591
V 0.500 0.000 0.500
V 0.000 0.500 0.000
CELL_PARAMETERS angstrom
5.347 0.000 -0.012
0.000 5.745 0.000
-0.148 0.000 10.297
```